1.
The following is a DFT calculation (GGA-PBE) of crystalline Ba2SiTc at its relaxed geometry.

Cell: 3.5554 3.5554 9.4103 Å, 90.00 90.00 90.00°
Closest atoms and distances in Å follow each position.
Sites, in units of the cell vectors:
1 Ba 0.0000 0.0000 0.2467  4 Si 3.42, 4 Tc 3.46, 4 Ba 3.56
2 Ba 0.0000 0.0000 0.7533  4 Si 3.42, 4 Tc 3.46, 4 Ba 3.56
3 Si 0.5000 0.5000 0.0000  8 Ba 3.42, 4 Si 3.56
4 Tc 0.5000 0.5000 0.5000  8 Ba 3.46, 4 Tc 3.56

uncorrected formation energy	0.74	eV/atom
E	-4.17	eV/atom
SG	P4/mmm, No. 123
crystal system	tetragonal

=====

2.
The following is a DFT calculation (GGA-PBE) of crystalline BaSiTc3 at its relaxed geometry.

Cell: 5.0692 5.0692 5.0692 Å, 90.00 90.00 90.00°
Closest atoms and distances in Å follow each position.
Sites, in units of the cell vectors:
1 Ba 0.0000 0.0000 0.0000  6 Tc 2.53
2 Si 0.5000 0.5000 0.5000  12 Tc 3.58
3 Tc 0.0000 0.0000 0.5000  2 Ba 2.53
4 Tc 0.0000 0.5000 0.0000  2 Ba 2.53
5 Tc 0.5000 0.0000 0.0000  2 Ba 2.53

uncorrected formation energy	3.11	eV/atom
E	-4.58	eV/atom
SG	Pm-3m, No. 221
crystal system	cubic

=====

3.
The following is a DFT calculation (GGA-PBE) of crystalline Ba2SiTc at its relaxed geometry.

Cell: 3.9972 3.9972 28.9262 Å, 90.00 90.00 120.00°
Closest atoms and distances in Å follow each position.
Sites, in units of the cell vectors:
1 Ba 0.0000 0.0000 0.2504  3 Si 3.33, 3 Tc 3.35
2 Ba 0.0000 0.0000 0.7496  3 Si 3.33, 3 Tc 3.35
3 Ba 0.3333 0.6667 0.4163  3 Si 3.33, 3 Tc 3.35
4 Ba 0.3333 0.6667 0.9171  3 Si 3.33, 3 Tc 3.35
5 Ba 0.6667 0.3333 0.0829  3 Si 3.33, 3 Tc 3.35
6 Ba 0.6667 0.3333 0.5837  3 Si 3.33, 3 Tc 3.35
7 Si 0.0000 0.0000 0.0000  6 Ba 3.33
8 Si 0.3333 0.6667 0.6667  6 Ba 3.33
9 Si 0.6667 0.3333 0.3333  6 Ba 3.33
10 Tc 0.0000 0.0000 0.5000  6 Ba 3.35
11 Tc 0.3333 0.6667 0.1667  6 Ba 3.35
12 Tc 0.6667 0.3333 0.8333  6 Ba 3.35

uncorrected formation energy	0.94	eV/atom
E	-3.97	eV/atom
SG	R-3m, No. 166
crystal system	trigonal

=====

4.
The following is a DFT calculation (GGA-PBE) of crystalline Ba2SiTc at its relaxed geometry.

Cell: 3.4985 3.4985 9.7098 Å, 90.00 90.00 90.00°
Closest atoms and distances in Å follow each position.
Sites, in units of the cell vectors:
1 Ba 0.0000 0.0000 0.0000  1 Si 3.18, 4 Tc 3.43, 4 Ba 3.50
2 Ba 0.5000 0.5000 0.4417  1 Tc 3.05, 4 Si 3.34
3 Si 0.0000 0.0000 0.6725  4 Tc 2.60
4 Tc 0.5000 0.5000 0.7560  4 Si 2.60

uncorrected formation energy	0.12	eV/atom
E	-4.79	eV/atom
SG	P4mm, No. 99
crystal system	tetragonal

=====

5.
The following is a DFT calculation (GGA-PBE) of crystalline Ba2SiTc at its relaxed geometry.

Cell: 8.2048 3.4571 9.2484 Å, 90.00 97.32 90.00°
Closest atoms and distances in Å follow each position.
Sites, in units of the cell vectors:
1 Ba 0.2459 0.0000 0.2527  3 Tc 3.24-3.37, 3 Si 3.32-3.36, 2 Ba 3.46
2 Ba 0.2541 0.5000 0.7473  3 Tc 3.24-3.37, 3 Si 3.32-3.36, 2 Ba 3.46
3 Ba 0.7459 0.5000 0.2527  3 Tc 3.24-3.37, 3 Si 3.32-3.36, 2 Ba 3.46
4 Ba 0.7541 0.0000 0.7473  3 Tc 3.24-3.37, 3 Si 3.32-3.36, 2 Ba 3.46
5 Si 0.0000 0.5000 0.0000  6 Ba 3.32-3.36, 2 Si 3.46
6 Si 0.5000 0.0000 0.0000  6 Ba 3.32-3.36, 2 Si 3.46
7 Tc 0.0000 0.0000 0.5000  6 Ba 3.24-3.37, 2 Tc 3.46
8 Tc 0.5000 0.5000 0.5000  6 Ba 3.24-3.37, 2 Tc 3.46

uncorrected formation energy	0.91	eV/atom
E	-4.00	eV/atom
SG	C2/m, No. 12
crystal system	monoclinic

=====

6.
The following is a DFT calculation (GGA-PBE) of crystalline Ba2SiTc at its relaxed geometry.

Cell: 7.0183 9.3746 3.5334 Å, 90.00 90.00 90.00°
Closest atoms and distances in Å follow each position.
Sites, in units of the cell vectors:
1 Ba 0.2500 0.2500 0.0000  4 Tc 3.42, 4 Si 3.42, 4 Ba 3.51-3.53
2 Ba 0.2500 0.7500 0.0000  4 Tc 3.42, 4 Si 3.42, 4 Ba 3.51-3.53
3 Ba 0.7500 0.2500 0.0000  4 Tc 3.42, 4 Si 3.42, 4 Ba 3.51-3.53
4 Ba 0.7500 0.7500 0.0000  4 Tc 3.42, 4 Si 3.42, 4 Ba 3.51-3.53
5 Si 0.0000 0.0000 0.5000  8 Ba 3.42, 2 Tc 3.51, 2 Si 3.53
6 Si 0.5000 0.5000 0.5000  8 Ba 3.42, 2 Tc 3.51, 2 Si 3.53
7 Tc 0.0000 0.5000 0.5000  8 Ba 3.42, 2 Si 3.51, 2 Tc 3.53
8 Tc 0.5000 0.0000 0.5000  8 Ba 3.42, 2 Si 3.51, 2 Tc 3.53

uncorrected formation energy	0.72	eV/atom
E	-4.19	eV/atom
SG	Cmmm, No. 65
crystal system	orthorhombic

=====

Please write out number 4 again, unchanged.
The following is a DFT calculation (GGA-PBE) of crystalline Ba2SiTc at its relaxed geometry.

Cell: 3.4985 3.4985 9.7098 Å, 90.00 90.00 90.00°
Closest atoms and distances in Å follow each position.
Sites, in units of the cell vectors:
1 Ba 0.0000 0.0000 0.0000  1 Si 3.18, 4 Tc 3.43, 4 Ba 3.50
2 Ba 0.5000 0.5000 0.4417  1 Tc 3.05, 4 Si 3.34
3 Si 0.0000 0.0000 0.6725  4 Tc 2.60
4 Tc 0.5000 0.5000 0.7560  4 Si 2.60

uncorrected formation energy	0.12	eV/atom
E	-4.79	eV/atom
SG	P4mm, No. 99
crystal system	tetragonal